(1)
{"formula": "Pm2HoPb", "functional": "PBE-GGA", "state": "optimized geometry", "polymorph_energy_mev_per_atom": 112, "magnetic_moment_mub_per_cell": 0.00, "lattice": [[6.365, 0.000, 0.000], [0.000, 7.951, -0.005], [0.000, 0.007, 9.903]], "species": ["Pm", "Pm", "Pm", "Pm", "Pm", "Pm", "Pm", "Pm", "Ho", "Ho", "Ho", "Ho", "Pb", "Pb", "Pb", "Pb"], "frac_coords": [[0.750, 0.929, 0.943], [0.250, 0.071, 0.057], [0.250, 0.571, 0.557], [0.750, 0.429, 0.443], [0.750, 0.429, 0.057], [0.250, 0.571, 0.943], [0.250, 0.071, 0.443], [0.750, 0.929, 0.557], [0.250, 0.401, 0.250], [0.750, 0.599, 0.750], [0.750, 0.099, 0.250], [0.250, 0.901, 0.750], [0.000, 0.250, 0.750], [0.000, 0.750, 0.250], [0.500, 0.250, 0.750], [0.500, 0.750, 0.250]]}

=====

(2)
{"formula": "Na2SF", "functional": "PBE-GGA", "state": "optimized geometry", "e_form_raw_ev_per_atom": -1.46, "polymorph_energy_mev_per_atom": 0, "magnetic_moment_mub_per_cell": 2.00, "lattice": [[-0.144, -6.188, -1.941], [5.599, 0.861, -3.160], [4.678, -3.704, 0.621]], "species": ["Na", "Na", "Na", "Na", "S", "S", "F", "F"], "frac_coords": [[0.548, 0.125, 0.250], [0.202, 0.625, 0.250], [0.375, 0.452, 0.750], [0.875, 0.798, 0.750], [0.000, 0.000, 0.000], [0.750, 0.250, 0.500], [0.500, 0.500, 0.000], [0.250, 0.750, 0.500]]}